# 1
{"formula": "TlInPb4", "functional": "GGA-PBE", "state": "optimized geometry", "lattice_angstrom": [[0.000, 4.654, 4.654], [4.654, 0.000, 4.654], [4.654, 4.654, 0.000]], "species": ["Tl", "In", "Pb", "Pb", "Pb", "Pb"], "frac_coords": [[0.000, 0.000, 0.000], [0.750, 0.750, 0.750], [0.375, 0.375, 0.375], [0.375, 0.375, 0.875], [0.375, 0.875, 0.375], [0.875, 0.375, 0.375]]}

---

# 2
{"formula": "CaAcGa", "functional": "GGA-PBE", "state": "optimized geometry", "lattice_angstrom": [[5.301, 0.000, 0.000], [-2.651, 4.591, 0.000], [0.000, 0.000, 4.034]], "species": ["Ca", "Ac", "Ga"], "frac_coords": [[0.000, 0.000, 0.000], [0.333, 0.667, 0.512], [0.667, 0.333, 0.124]]}

---

Table of polymorph energy (0 for the lowest one) (meV per atom), in record order: 111 153